Density functional theory data (PBE) for a relaxed structure of LaTiO4.

Values from the calculation:
Crystal system   tetragonal
DOS(E_F)   5.02 states/eV per cell
M_tot   2.017 μB per cell
Raw total energy   -8.202 eV per atom

Cell lengths 3.7850, 3.7850, 12.5314 Å; angles 90.00, 90.00, 90.00 degrees
Space group P4/nmm (No. 129, origin choice 2)
Symmetry-distinct sites (fractional):
La 0.2500 0.2500 0.1128 (multiplicity 2)
Ti 0.2500 0.2500 0.6687 (multiplicity 2)
O 0.2500 0.2500 0.8132 (multiplicity 2)
O 0.2500 0.7500 0.0000 (multiplicity 2)
O 0.2500 0.7500 0.3603 (multiplicity 4)